Entry from the Alexandria database: an optimized crystal structure of LaDy14Tm (PBE).

Lattice parameters (Å, degrees): 11.488 7.135 12.363 90.00 90.00 90.00
Space group Amm2 (No. 38)
Asymmetric unit:
La 0.000 0.000 0.000 [2 per cell]
Dy 0.000 0.250 0.250 [4 per cell]
Dy 0.249 0.000 0.334 [4 per cell]
Dy 0.252 0.249 0.584 [8 per cell]
Dy 0.253 0.000 0.833 [4 per cell]
Dy 0.500 0.000 0.167 [2 per cell]
Dy 0.500 0.000 0.667 [2 per cell]
Dy 0.500 0.249 0.417 [4 per cell]
Tm 0.000 0.000 0.501 [2 per cell]

**E**: -4.6079 eV per atom
**N(E_F)**: 38.15 states/eV/cell
**Spin magnetization**: 0.00 μB per cell